Record 1
TbAl4: optimized geometry, PBEsol.

Unit cell a=4.426 b=6.198 c=7.794 alpha=113.43 beta=106.50 gamma=90.00
Atoms (fractional coordinates):
Al  0.887  0.637  0.774
Al  0.500  0.500  0.000
Al  0.302  0.335  0.603
Al  0.113  0.363  0.226
Al  0.500  0.000  0.000
Al  0.698  0.665  0.397
Al  0.698  0.232  0.397
Al  0.302  0.768  0.603
Tb  0.112  0.862  0.224
Tb  0.888  0.138  0.776

Results
M_tot   0.0 Bohr magnetons per cell
ΔH_f (0 K)   -34 kJ per mole of atoms
Symmetry   No. 74

Record 2
Tb3Al2: optimized geometry, PBEsol.

Unit cell a=7.499 b=8.174 c=8.174 alpha=90.00 beta=90.00 gamma=90.00
Atoms (fractional coordinates):
Tb  0.500  0.648  0.352
Tb  0.000  0.298  0.702
Tb  0.000  0.852  0.852
Tb  0.250  0.000  0.500
Tb  0.250  0.500  0.000
Tb  0.750  0.000  0.500
Tb  0.000  0.148  0.148
Tb  0.500  0.798  0.798
Tb  0.500  0.352  0.648
Tb  0.750  0.500  0.000
Tb  0.500  0.202  0.202
Tb  0.000  0.702  0.298
Al  0.807  0.620  0.620
Al  0.693  0.120  0.880
Al  0.693  0.880  0.120
Al  0.307  0.880  0.120
Al  0.307  0.120  0.880
Al  0.193  0.380  0.380
Al  0.193  0.620  0.620
Al  0.807  0.380  0.380

Results
M_tot   0.0 Bohr magnetons per cell
ΔH_f (0 K)   -30 kJ per mole of atoms
Symmetry   No. 136

Record 3
Tb6Ti4Al43: optimized geometry, PBEsol.

Unit cell a=10.982 b=10.982 c=17.743 alpha=90.00 beta=90.00 gamma=120.00
Atoms (fractional coordinates):
Al  0.667  0.333  0.126
Al  0.234  0.393  0.664
Al  0.156  0.156  0.116
Al  0.253  0.000  0.029
Al  0.234  0.393  0.836
Al  0.766  0.607  0.164
Al  0.159  0.393  0.336
Al  0.149  0.553  0.750
Al  0.505  0.753  0.500
Al  0.766  0.607  0.336
Al  0.000  0.253  0.471
Al  0.159  0.766  0.664
Al  0.000  0.156  0.616
Al  0.000  0.844  0.384
Al  0.753  0.505  0.000
Al  0.766  0.159  0.664
Al  0.844  0.000  0.384
Al  0.495  0.247  0.000
Al  0.247  0.495  0.000
Al  0.841  0.234  0.336
Al  0.447  0.596  0.750
Al  0.253  0.000  0.471
Al  0.234  0.841  0.164
Al  0.000  0.156  0.884
Al  0.159  0.393  0.164
Al  0.747  0.000  0.971
Al  0.333  0.667  0.874
Al  0.607  0.841  0.664
Al  0.853  0.000  0.750
Al  0.841  0.607  0.836
Al  0.747  0.747  0.471
Al  0.851  0.404  0.750
Al  0.447  0.851  0.250
Al  0.844  0.844  0.884
Al  0.851  0.447  0.250
Al  0.000  0.853  0.750
Al  0.147  0.147  0.750
Al  0.667  0.333  0.626
Al  0.247  0.495  0.500
Al  0.607  0.841  0.836
Al  0.505  0.753  0.000
Al  0.333  0.667  0.626
Al  0.393  0.159  0.164
Al  0.000  0.747  0.529
Al  0.404  0.851  0.750
Al  0.156  0.156  0.384
Al  0.841  0.234  0.164
Al  0.253  0.253  0.529
Al  0.234  0.841  0.336
Al  0.844  0.844  0.616
Al  0.333  0.667  0.126
Al  0.753  0.247  0.500
Al  0.000  0.747  0.971
Al  0.495  0.247  0.500
Al  0.844  0.000  0.116
Al  0.667  0.333  0.874
Al  0.156  0.000  0.884
Al  0.596  0.149  0.250
Al  0.853  0.853  0.250
Al  0.553  0.404  0.250
Al  0.159  0.766  0.836
Al  0.753  0.247  0.000
Al  0.147  0.000  0.250
Al  0.156  0.000  0.616
Al  0.667  0.333  0.374
Al  0.404  0.553  0.250
Al  0.766  0.159  0.836
Al  0.333  0.667  0.374
Al  0.247  0.753  0.500
Al  0.607  0.766  0.164
Al  0.393  0.234  0.664
Al  0.747  0.000  0.529
Al  0.393  0.159  0.336
Al  0.753  0.505  0.500
Al  0.841  0.607  0.664
Al  0.253  0.253  0.971
Al  0.553  0.149  0.750
Al  0.247  0.753  0.000
Al  0.747  0.747  0.029
Al  0.393  0.234  0.836
Al  0.607  0.766  0.336
Al  0.596  0.447  0.750
Al  0.000  0.844  0.116
Al  0.149  0.596  0.250
Al  0.000  0.147  0.250
Al  0.000  0.253  0.029
Ti  0.728  0.000  0.250
Ti  0.000  0.000  0.000
Ti  0.000  0.000  0.500
Ti  0.000  0.272  0.750
Ti  0.000  0.728  0.250
Ti  0.272  0.272  0.250
Ti  0.728  0.728  0.750
Ti  0.272  0.000  0.750
Tb  0.471  0.471  0.096
Tb  0.529  0.529  0.596
Tb  0.529  0.529  0.904
Tb  0.529  0.000  0.404
Tb  0.000  0.471  0.904
Tb  0.471  0.000  0.904
Tb  0.471  0.000  0.596
Tb  0.000  0.529  0.404
Tb  0.000  0.529  0.096
Tb  0.471  0.471  0.404
Tb  0.529  0.000  0.096
Tb  0.000  0.471  0.596

Results
M_tot   0.0 Bohr magnetons per cell
ΔH_f (0 K)   -33 kJ per mole of atoms
Symmetry   No. 193

Record 4
Tb6Al39V8: optimized geometry, PBEsol.

Unit cell a=10.919 b=10.919 c=17.360 alpha=90.00 beta=90.00 gamma=120.00
Each line ends with the local moment (μB).
Atoms (fractional coordinates):
Al  0.250  0.501  0.500  0.00
Al  0.603  0.837  0.839  -0.01
Al  0.233  0.837  0.339  -0.01
Al  0.000  0.750  0.972  0.00
Al  0.250  0.250  0.528  0.00
Al  0.847  0.847  0.250  -0.01
Al  0.837  0.233  0.161  -0.01
Al  0.250  0.000  0.472  0.00
Al  0.397  0.233  0.661  -0.01
Al  0.847  0.847  0.618  -0.01
Al  0.250  0.750  0.500  0.00
Al  0.750  0.750  0.472  0.00
Al  0.847  0.847  0.882  -0.01
Al  0.250  0.250  0.972  0.00
Al  0.000  0.250  0.472  0.00
Al  0.163  0.767  0.661  -0.01
Al  0.604  0.449  0.750  -0.01
Al  0.767  0.163  0.839  -0.01
Al  0.163  0.767  0.839  -0.01
Al  0.233  0.397  0.839  -0.01
Al  0.396  0.551  0.250  -0.01
Al  0.000  0.153  0.618  -0.01
Al  0.750  0.250  0.000  0.00
Al  0.501  0.250  0.500  0.00
Al  0.551  0.396  0.250  -0.01
Al  0.603  0.767  0.339  -0.01
Al  0.397  0.233  0.839  -0.01
Al  0.000  0.847  0.118  -0.01
Al  0.449  0.845  0.250  -0.01
Al  0.000  0.153  0.250  -0.01
Al  0.847  0.000  0.382  -0.01
Al  0.750  0.750  0.028  0.00
Al  0.604  0.155  0.250  -0.01
Al  0.000  0.250  0.028  0.00
Al  0.163  0.397  0.161  -0.01
Al  0.750  0.250  0.500  0.00
Al  0.603  0.837  0.661  -0.01
Al  0.750  0.499  0.500  0.00
Al  0.847  0.000  0.118  -0.01
Al  0.767  0.603  0.161  -0.01
Al  0.000  0.847  0.750  -0.01
Al  0.163  0.397  0.339  -0.01
Al  0.153  0.000  0.250  -0.01
Al  0.767  0.163  0.661  -0.01
Al  0.396  0.845  0.750  -0.01
Al  0.000  0.750  0.528  0.00
Al  0.750  0.000  0.528  0.00
Al  0.250  0.000  0.028  0.00
Al  0.153  0.153  0.118  -0.01
Al  0.837  0.603  0.839  -0.01
Al  0.000  0.847  0.382  -0.01
Al  0.767  0.603  0.339  -0.01
Al  0.499  0.750  0.500  0.00
Al  0.397  0.163  0.161  -0.01
Al  0.233  0.837  0.161  -0.01
Al  0.845  0.396  0.750  -0.01
Al  0.155  0.604  0.250  -0.01
Al  0.153  0.153  0.382  -0.01
Al  0.250  0.750  0.000  0.00
Al  0.250  0.501  0.000  0.00
Al  0.750  0.499  0.000  0.00
Al  0.155  0.551  0.750  -0.01
Al  0.845  0.449  0.250  -0.01
Al  0.499  0.750  0.000  0.00
Al  0.551  0.155  0.750  -0.01
Al  0.000  0.153  0.882  -0.01
Al  0.501  0.250  0.000  0.00
Al  0.837  0.603  0.661  -0.01
Al  0.449  0.604  0.750  -0.01
Al  0.233  0.397  0.661  -0.01
Al  0.847  0.000  0.750  -0.01
Al  0.837  0.233  0.339  -0.01
Al  0.397  0.163  0.339  -0.01
Al  0.153  0.000  0.618  -0.01
Al  0.750  0.000  0.972  0.00
Al  0.153  0.153  0.750  -0.01
Al  0.603  0.767  0.161  -0.01
Al  0.153  0.000  0.882  -0.01
Tb  0.535  0.000  0.099  -0.03
Tb  0.535  0.535  0.599  -0.03
Tb  0.535  0.535  0.901  -0.03
Tb  0.000  0.535  0.099  -0.03
Tb  0.000  0.465  0.599  -0.03
Tb  0.465  0.465  0.401  -0.03
Tb  0.465  0.465  0.099  -0.03
Tb  0.000  0.465  0.901  -0.03
Tb  0.535  0.000  0.401  -0.03
Tb  0.000  0.535  0.401  -0.03
Tb  0.465  0.000  0.599  -0.03
Tb  0.465  0.000  0.901  -0.03
V  0.000  0.000  0.000  0.10
V  0.333  0.667  0.370  1.21
V  0.736  0.736  0.750  0.34
V  0.736  0.000  0.250  0.34
V  0.000  0.000  0.500  0.10
V  0.000  0.264  0.750  0.34
V  0.333  0.667  0.130  1.21
V  0.667  0.333  0.370  1.21
V  0.333  0.667  0.870  1.21
V  0.667  0.333  0.130  1.21
V  0.667  0.333  0.630  1.21
V  0.264  0.264  0.250  0.34
V  0.333  0.667  0.630  1.21
V  0.000  0.736  0.250  0.34
V  0.264  0.000  0.750  0.34
V  0.667  0.333  0.870  1.21

Results
M_tot   12.7 Bohr magnetons per cell
ΔH_f (0 K)   -30 kJ per mole of atoms
Symmetry   No. 193

Record 5
Al2Tc: optimized geometry, PBEsol.

Unit cell a=4.466 b=4.510 c=4.779 alpha=118.16 beta=90.00 gamma=90.00
Atoms (fractional coordinates):
Al  0.750  0.440  0.317
Al  0.250  0.560  0.683
Al  0.250  0.876  0.317
Al  0.750  0.124  0.683
Tc  0.750  0.772  0.000
Tc  0.250  0.228  0.000

Results
M_tot   0.0 Bohr magnetons per cell
ΔH_f (0 K)   -37 kJ per mole of atoms
Polymorph energy (0 for the lowest one)   0 meV per atom
Symmetry   No. 63

Record 6
Al2Tc: optimized geometry, PBEsol.

Unit cell a=3.170 b=3.170 c=4.790 alpha=109.32 beta=109.32 gamma=90.00
Each line ends with the local moment (μB).
Atoms (fractional coordinates):
Tc  0.500  0.500  0.000  0.30
Al  0.842  0.842  0.684  0.01
Al  0.158  0.158  0.316  0.01

Results
M_tot   0.4 Bohr magnetons per cell
ΔH_f (0 K)   -36 kJ per mole of atoms
Polymorph energy (0 for the lowest one)   6 meV per atom
Symmetry   No. 139